(1)
Below is a relaxed Y2ScCu crystal, with properties calculated at the PBE level.

```
8
Lattice="8.2389 0.0000 0.0000 0.0000 8.2389 0.0000 4.1195 4.1195 3.0821" Properties=species:S:1:pos:R:3 pbc="T T T"
Cu 8.2389 4.1195 1.5410
Y 10.2987 10.7882 2.3116
Y 1.5702 6.1792 0.7705
Y 6.1792 5.6896 2.3116
Cu 0.0000 0.0000 0.0000
Sc 4.1195 4.1195 0.0000
Y 6.6688 2.0597 0.7705
Sc 4.1195 8.2389 1.5410
```

Results
* crystal system: tetragonal
* ΔE_f: 146 meV/atom
* magnetic moment: 0.000 μB/atom
* ΔE to the lowest computed polymorph: 247 meV per atom



(2)
Below is a relaxed Y2ScCu crystal, with properties calculated at the PBE level.

```
16
Lattice="-4.6768 3.5359 -2.7339 1.3030 -2.8613 -5.9295 -6.1573 -6.6931 1.8767" Properties=species:S:1:pos:R:3 pbc="T T T"
Y -0.3581 -1.7041 -4.5835
Sc -5.6082 1.3559 -2.0773
Y -3.8830 -2.4568 -1.1966
Y -5.6481 -3.5617 -5.5902
Y -2.7214 -4.2731 -3.8632
Sc -3.7688 -0.9729 -4.3477
Sc -5.7624 -5.0456 -2.4391
Y -6.8097 -1.7453 -2.9236
Cu -2.6102 -2.5851 -6.2961
Y -8.0115 -6.1307 -4.8698
Cu -1.0674 -2.8134 -2.0486
Sc -3.9230 -7.3743 -4.7094
Cu -6.9210 -3.4334 -0.4907
Y -1.5197 0.1122 -1.9169
Y -9.1731 -4.3144 -2.2033
Cu -8.4638 -3.2051 -4.7381
```

Results
* crystal system: orthorhombic
* ΔE_f: -101 meV/atom
* magnetic moment: 0.000 μB/atom
* ΔE to the lowest computed polymorph: 0 meV per atom



(3)
Below is a relaxed Y2ScCu crystal, with properties calculated at the PBE level.

```
4
Lattice="4.5931 0.0000 0.0000 0.0000 3.6823 0.0060 0.0000 1.8407 5.9408" Properties=species:S:1:pos:R:3 pbc="T T T"
Y 2.2966 1.6124 1.8144
Cu 0.0000 3.4424 2.9082
Y 0.0000 5.2965 5.7221
Sc 2.2966 3.4561 4.4224
```

Results
* crystal system: monoclinic
* ΔE_f: 19 meV/atom
* magnetic moment: 0.000 μB/atom
* ΔE to the lowest computed polymorph: 120 meV per atom



(4)
Below is a relaxed YSc2Cu crystal, with properties calculated at the PBE level.

```
4
Lattice="-1.2685 4.3481 0.8867 -3.1526 -0.6458 -1.3433 -3.4913 -1.9378 4.5080" Properties=species:S:1:pos:R:3 pbc="T T T"
Y -2.2952 1.5282 1.2345
Cu -5.6172 0.2364 2.8169
Sc -6.2490 -2.4647 3.1466
Sc -3.7169 -1.4107 1.6004
```

Results
* crystal system: monoclinic
* ΔE_f: 44 meV/atom
* magnetic moment: 0.000 μB/atom
* ΔE to the lowest computed polymorph: 156 meV per atom



(5)
Below is a relaxed YSc2Cu crystal, with properties calculated at the PBE level.

```
4
Lattice="3.3411 0.0000 0.0000 0.0000 3.3410 0.0000 0.0000 0.0000 8.2516" Properties=species:S:1:pos:R:3 pbc="T T T"
Sc 0.0000 0.0000 7.8618
Sc 1.6705 1.6705 1.9083
Cu 1.6705 1.6705 6.4078
Y 0.0000 0.0000 4.4511
```

Results
* crystal system: tetragonal
* ΔE_f: -76 meV/atom
* magnetic moment: 0.000 μB/atom
* ΔE to the lowest computed polymorph: 36 meV per atom



(6)
Below is a relaxed YScCu10 crystal, with properties calculated at the PBE level.

```
12
Lattice="-2.6082 3.1393 -0.3981 0.0164 -0.6128 -4.9396 -6.6177 -5.4156 0.6499" Properties=species:S:1:pos:R:3 pbc="T T T"
Cu -2.9781 0.0422 -1.2764
Cu -4.3683 -3.5748 0.4290
Sc -3.3006 -3.0142 -2.1448
Cu -2.9700 -0.2624 -3.7317
Cu -5.4511 -4.7740 -1.9336
Cu -2.2494 -1.8408 0.2209
Cu -6.2313 -2.9313 -3.4114
Cu -1.1502 -1.2544 -2.3560
Cu -1.2959 1.2632 -2.6688
Y 0.0000 0.0000 0.0000
Cu -4.6129 -1.1381 0.1259
Cu -6.2394 -2.6267 -0.9561
```

Results
* crystal system: orthorhombic
* ΔE_f: -159 meV/atom
* magnetic moment: 0.000 μB/atom



(7)
Below is a relaxed YScCu2 crystal, with properties calculated at the PBE level.

```
4
Lattice="5.8418 0.0840 -0.0283 3.0613 4.9762 0.0283 -4.0281 -3.2751 2.6800" Properties=species:S:1:pos:R:3 pbc="T T T"
Sc 4.5799 2.6031 0.0000
Y 1.5665 2.0156 1.3542
Cu 8.6263 4.9029 0.0000
Cu 3.4569 -0.1462 1.3258
```

Results
* crystal system: orthorhombic
* ΔE_f: -88 meV/atom
* magnetic moment: 0.000 μB/atom
* ΔE to the lowest computed polymorph: 167 meV per atom



(8)
Below is a relaxed YScCu2 crystal, with properties calculated at the PBE level.

```
4
Lattice="-4.3398 0.5661 0.0184 -0.1098 -0.7270 -3.5118 -0.6950 -5.3023 -0.7777" Properties=species:S:1:pos:R:3 pbc="T T T"
Sc -0.3320 -2.4793 -2.0177
Cu -2.3666 -1.2125 -0.3696
Y -2.8355 -4.7099 -3.3503
Cu -0.7078 -5.3785 -1.4558
```

Results
* crystal system: monoclinic
* ΔE_f: -226 meV/atom
* magnetic moment: 0.000 μB/atom
* ΔE to the lowest computed polymorph: 28 meV per atom



(9)
Below is a relaxed YSc2Cu crystal, with properties calculated at the PBE level.

```
4
Lattice="-0.3287 -5.3875 -2.9215 4.3403 -4.2594 0.8295 -4.3444 3.5329 2.5126" Properties=species:S:1:pos:R:3 pbc="T T T"
Y -1.3337 -3.3390 -0.7275
Cu 1.0008 -2.7750 1.1480
Sc 1.8384 -4.4210 -0.9588
Sc 0.1673 -0.4024 -0.0873
```

Results
* crystal system: orthorhombic
* ΔE_f: -97 meV/atom
* magnetic moment: 0.000 μB/atom
* ΔE to the lowest computed polymorph: 14 meV per atom



(10)
Below is a relaxed YScCu2 crystal, with properties calculated at the PBE level.

```
8
Lattice="7.2273 0.0000 0.0000 0.0000 7.2273 0.0000 3.6136 3.6136 3.3297" Properties=species:S:1:pos:R:3 pbc="T T T"
Y 7.2273 3.6136 1.6649
Sc 3.6136 7.2273 1.6649
Cu 9.0341 8.8703 2.4973
Sc 3.6136 3.6136 0.0000
Y 0.0000 0.0000 0.0000
Cu 5.4205 5.5843 2.4973
Cu 5.2566 1.8068 0.8324
Cu 1.9706 5.4205 0.8324
```

Results
* crystal system: tetragonal
* ΔE_f: 193 meV/atom
* magnetic moment: 0.000 μB/atom
* ΔE to the lowest computed polymorph: 448 meV per atom



(11)
Below is a relaxed YScCu crystal, with properties calculated at the PBE level.

```
3
Lattice="-4.9195 -4.0439 0.6089 -2.8097 -5.5303 -1.5662 0.9352 -2.1845 2.3970" Properties=species:S:1:pos:R:3 pbc="T T T"
Cu -7.6092 -9.4719 -0.9108
Sc -2.2434 -4.8954 1.1665
Y -4.6706 -6.9656 0.2268
```

Results
* crystal system: tetragonal
* ΔE_f: -124 meV/atom
* magnetic moment: 0.093 μB/atom
* ΔE to the lowest computed polymorph: 57 meV per atom



(12)
Below is a relaxed YScCu2 crystal, with properties calculated at the PBE level.

```
4
Lattice="-2.6609 1.3438 -1.6011 0.9868 -1.4772 -2.8799 -3.7417 -5.5465 1.5629" Properties=species:S:1:pos:R:3 pbc="T T T"
Cu -0.1793 -0.2657 0.0749
Y -3.8094 -4.4729 -0.9989
Cu -1.6653 -1.2946 -1.8945
Sc -1.6325 -2.4200 0.6819
```

Results
* crystal system: tetragonal
* ΔE_f: -110 meV/atom
* magnetic moment: 0.175 μB/atom
* ΔE to the lowest computed polymorph: 145 meV per atom



(13)
Below is a relaxed Y2ScCu crystal, with properties calculated at the PBE level.

```
4
Lattice="-3.9568 2.9148 3.7972 -1.3540 1.4602 5.8826 1.4958 4.7009 1.4121" Properties=species:S:1:pos:R:3 pbc="T T T"
Y -2.2064 4.5238 5.9090
Y -5.0120 4.3892 9.3168
Cu -0.9538 2.2690 2.7730
Sc -2.8613 6.8070 8.3189
```

Results
* crystal system: orthorhombic
* ΔE_f: 2 meV/atom
* magnetic moment: 0.000 μB/atom
* ΔE to the lowest computed polymorph: 103 meV per atom



(14)
Below is a relaxed Y2ScCu crystal, with properties calculated at the PBE level.

```
4
Lattice="-1.0715 -3.2386 0.0866 0.5098 -0.2586 -3.3641 8.0216 -2.6160 1.4166" Properties=species:S:1:pos:R:3 pbc="T T T"
Sc 5.2550 -3.5540 -0.6611
Y 7.8719 -2.5672 1.3902
Y 2.1442 -2.5395 -1.2105
Cu 4.2213 -1.3766 0.7455
```

Results
* crystal system: tetragonal
* ΔE_f: -80 meV/atom
* magnetic moment: 0.000 μB/atom
* ΔE to the lowest computed polymorph: 20 meV per atom